Material: Nd2Dy6Er
Method: DFT, PBE
State: relaxed Values from VASP.

Summary:
- calculated volume (Å³/atom) = 32.21
- calculated total energy (eV/atom) = -4.523
- space group = No. 15

Geometry as Quantum ESPRESSO input:
```
&SYSTEM
  ibrav = 0, nat = 18, ntyp = 3
/
ATOMIC_SPECIES
Dy 162.50 Dy.upf
Nd 144.24 Nd.upf
Er 167.26 Er.upf
CELL_PARAMETERS angstrom
5.8134 1.5083 1.4602
3.6905 11.1657 -1.5317
3.6905 -1.1691 11.2095
ATOMIC_POSITIONS crystal
Dy 0.1788 0.8378 0.9914
Dy 0.3369 0.6742 0.4951
Dy 0.6788 0.9914 0.8378
Dy 0.3212 0.0086 0.1622
Nd 0.4808 0.1626 0.3420
Dy 0.8212 0.1622 0.0086
Dy 0.8369 0.4951 0.6742
Nd 0.9808 0.3420 0.1626
Er 0.7500 0.7603 0.2397
Dy 0.9289 0.9227 0.4073
Er 0.2500 0.2397 0.7603
Dy 0.5711 0.5927 0.0773
Dy 0.4289 0.4073 0.9227
Dy 0.6631 0.3258 0.5049
Dy 0.0711 0.0773 0.5927
Nd 0.0192 0.6580 0.8374
Dy 0.1631 0.5049 0.3258
Nd 0.5192 0.8374 0.6580
```



Material: Ni4AsPt
Method: DFT, PBE
State: relaxed Values from VASP.

Summary:
- energy above the lowest structure with this stoichiometry (meV per atom) = 27
- calculated volume (Å³/atom) = 12.74
- calculated total energy (eV/atom) = -5.521
- space group = No. 216

Geometry as Quantum ESPRESSO input:
```
&SYSTEM
  ibrav = 0, nat = 6, ntyp = 3
/
ATOMIC_SPECIES
Ni 58.69 Ni.upf
Pt 195.08 Pt.upf
As 74.92 As.upf
CELL_PARAMETERS angstrom
-1.3561 2.9313 3.5018
-1.9956 4.1974 -1.0460
-4.6330 0.7125 0.8498
ATOMIC_POSITIONS crystal
Ni 0.3754 0.3754 0.3754
Ni 0.3754 0.3754 0.8738
Pt 0.7500 0.7500 0.7500
Ni 0.3754 0.8738 0.3754
Ni 0.8738 0.3754 0.3754
As 0.0000 0.0000 0.0000
```



no.,magnetization (μB/f.u.)
1,0.00
2,0.01